The following is a GGA-PBE calculation of a geometry-optimized GdBiBr structure, from Alexandria via LeMat-Bulk.

Calculated values
Total energy = -7.3974 eV per atom
ΔE_f (raw) = -853 meV per atom

Geometry as CIF:
```
data_GdBiBr
_space_group_name_H-M_alt 'P -6 m 2'
_space_group_IT_number 187
_space_group_name_Hall 'P -6 2'
_cell_length_a 5.1719
_cell_length_b 5.1719
_cell_length_c 3.7447
_cell_angle_alpha 90.00
_cell_angle_beta 90.00
_cell_angle_gamma 120.00
loop_
_atom_site_label
_atom_site_fract_x
_atom_site_fract_y
_atom_site_fract_z
Gd1 0.0000 0.0000 0.0000
Bi1 0.6667 0.3333 0.5000
Br1 0.3333 0.6667 0.0000
```



The following is a GGA-PBE calculation of a geometry-optimized PrGdBiBr structure, from Alexandria via LeMat-Bulk.

Calculated values
Total energy = -7.0655 eV per atom
ΔE_f (raw) = -962 meV per atom

Geometry as CIF:
```
data_PrGdBiBr
_space_group_name_H-M_alt 'F -4 3 m'
_space_group_IT_number 216
_space_group_name_Hall 'F -4 2 3'
_cell_length_a 7.7389
_cell_length_b 7.7389
_cell_length_c 7.7389
_cell_angle_alpha 90.00
_cell_angle_beta 90.00
_cell_angle_gamma 90.00
loop_
_atom_site_label
_atom_site_fract_x
_atom_site_fract_y
_atom_site_fract_z
Pr1 0.0000 0.0000 0.0000
Gd1 0.0000 0.0000 0.5000
Bi1 0.2500 0.2500 0.2500
Br1 0.2500 0.2500 0.7500
```



The following is a GGA-PBE calculation of a geometry-optimized SmGdBiBr structure, from Alexandria via LeMat-Bulk.

Calculated values
Total energy = -7.0186 eV per atom
ΔE_f (raw) = -930 meV per atom

Geometry as CIF:
```
data_SmGdBiBr
_space_group_name_H-M_alt 'F -4 3 m'
_space_group_IT_number 216
_space_group_name_Hall 'F -4 2 3'
_cell_length_a 7.6691
_cell_length_b 7.6691
_cell_length_c 7.6691
_cell_angle_alpha 90.00
_cell_angle_beta 90.00
_cell_angle_gamma 90.00
loop_
_atom_site_label
_atom_site_fract_x
_atom_site_fract_y
_atom_site_fract_z
Sm1 0.0000 0.0000 0.0000
Gd1 0.0000 0.0000 0.5000
Bi1 0.2500 0.2500 0.2500
Br1 0.2500 0.2500 0.7500
```



The following is a GGA-PBE calculation of a geometry-optimized Ge2BiBr6 structure, from Alexandria via LeMat-Bulk.

Calculated values
Total energy = -3.0525 eV per atom
ΔE_f (raw) = -480 meV per atom

Geometry as CIF:
```
data_Ge2BiBr6
_space_group_name_H-M_alt 'C 1 2/c 1'
_space_group_IT_number 15
_space_group_name_Hall '-C 2yc'
_cell_length_a 14.1942
_cell_length_b 12.6569
_cell_length_c 8.2335
_cell_angle_alpha 90.00
_cell_angle_beta 97.71
_cell_angle_gamma 90.00
loop_
_atom_site_label
_atom_site_fract_x
_atom_site_fract_y
_atom_site_fract_z
Ge1 0.2483 0.0862 0.4492
Bi1 0.0000 0.3938 0.7500
Br1 0.1120 0.4449 0.1471
Br2 0.1443 0.2499 0.6222
Br3 0.1456 0.0781 0.1865
```